The following is a DFT calculation (SCAN) of a PBEsol-optimized structure of AlFeSi2.

Summary:
Calculated total energy: -11.378 eV per atom
DOS(E_F): 1.9 states/eV per cell
ΔE_f (raw): 0.4 eV/f.u.

```
4
Lattice="2.826 0.000 0.000 0.000 3.337 0.000 0.000 0.000 5.199" Properties=species:S:1:pos:R:3 pbc="T T T"
Si 1.413 1.669 1.238
Fe 1.413 1.669 4.069
Si 0.000 0.000 5.078
Al 0.000 0.000 2.612
```